A plane-wave DFT calculation with PBE-GGA was carried out for Si2Ni2Ag after structural relaxation.

It has space group P4/mbm (No. 127), with a = 6.9377 Å, b = 6.9377 Å, c = 2.6551 Å, α = 90.00°, β = 90.00° and γ = 90.00°. The inequivalent atoms are Si at (0.1278, 0.3722, 0.0000), Ni at (0.1681, 0.6681, 0.5000) and Ag at (0.0000, 0.0000, 0.0000).

The formation energy from raw total energies comes out at -1.09 eV/f.u. The excess energy over the best structure of this formula in the dataset comes out at 0.0 kJ per mole of atoms. The total energy comes out at -52.70 eV per cell. As for the crystal system: tetragonal. For the mass density, the calculation gives 7.31 g/cm³.

=====

A plane-wave DFT calculation with PBE-GGA was carried out for SiNi2Ag after structural relaxation.

It has space group C2/m (No. 12), with a = 7.2450 Å, b = 2.7297 Å, c = 5.5795 Å, α = 90.00°, β = 99.53° and γ = 90.00°. The inequivalent atoms are Si at (0.0000, 0.0000, 0.0000), Ni at (0.2368, 0.5000, 0.1913) and Ag at (0.0000, 0.5000, 0.5000).

The formation energy from raw total energies comes out at -0.29 eV/f.u. The total energy comes out at -40.26 eV per cell. As for the crystal system: monoclinic. For the mass density, the calculation gives 7.73 g/cm³.

=====

A plane-wave DFT calculation with PBE-GGA was carried out for SiNi2Ag after structural relaxation.

It has space group Imm2 (No. 44), with a = 2.8721 Å, b = 4.1175 Å, c = 8.8024 Å, α = 90.00°, β = 90.00° and γ = 90.00°. The inequivalent atoms are Si at (0.0000, 0.0000, 0.0000), Ni at (0.0000, 0.0000, 0.5241), Ni at (0.0000, 0.5000, 0.3042) and Ag at (0.0000, 0.5000, 0.7441).

The formation energy from raw total energies comes out at -0.15 eV/f.u. The total energy comes out at -39.98 eV per cell. As for the crystal system: orthorhombic. For the mass density, the calculation gives 8.08 g/cm³.

=====

A plane-wave DFT calculation with PBE-GGA was carried out for SiNi2Ag after structural relaxation.

It has space group P4/mmm (No. 123), with a = 3.8259 Å, b = 3.8259 Å, c = 3.4843 Å, α = 90.00°, β = 90.00° and γ = 90.00°. The inequivalent atoms are Si at (0.0000, 0.0000, 0.0000), Ni at (0.0000, 0.5000, 0.5000) and Ag at (0.5000, 0.5000, 0.0000).

The formation energy from raw total energies comes out at -0.09 eV/f.u. The total energy comes out at -19.93 eV per cell. As for the crystal system: tetragonal. For the mass density, the calculation gives 8.25 g/cm³.

=====

A plane-wave DFT calculation with PBE-GGA was carried out for Sm12NiAg6 after structural relaxation.

It has space group R-3 (No. 148, hexagonal axes), with a = 11.9921 Å, b = 11.9921 Å, c = 13.3432 Å, α = 90.00°, β = 90.00° and γ = 120.00°. The inequivalent atoms are Sm at (0.0316, 0.8414, 0.3757), Sm at (0.0401, 0.1926, 0.8895), Ni at (0.0000, 0.0000, 0.5000) and Ag at (0.0018, 0.3971, 0.7578).

The formation energy comes out at -81 meV/atom. The total energy comes out at -243.18 eV per cell. As for the crystal system: trigonal. For the mass density, the calculation gives 7.52 g/cm³.

=====

A plane-wave DFT calculation with PBE-GGA was carried out for Sm6NiAg2 after structural relaxation.

It has space group Immm (No. 71), with a = 9.7852 Å, b = 9.8805 Å, c = 10.2917 Å, α = 90.00°, β = 90.00° and γ = 90.00°. The inequivalent atoms are Sm at (0.0000, 0.1686, 0.2473), Sm at (0.1693, 0.5000, 0.2757), Sm at (0.2349, 0.3160, 0.0000), Ni at (0.0000, 0.0000, 0.5000), Ni at (0.0000, 0.5000, 0.0000), Ag at (0.0000, 0.3535, 0.5000) and Ag at (0.1374, 0.0000, 0.0000).

The formation energy comes out at -112 meV/atom. The total energy comes out at -163.23 eV per cell. As for the crystal system: orthorhombic. For the mass density, the calculation gives 7.85 g/cm³.

=====

Q: Which value of mass density does entry 3 give?
A: 8.08 g/cm³